A geometry-optimized KHgP2S structure. Source: the Alexandria database, functional GGA-PBE.

## Properties
Mass density: 3.97 g cm⁻³
DOS(E_F): 3.5 states/eV/cell
E_form (uncorrected): 0.63 eV/atom

```
data_KHgP2S
_cell_length_a 5.090
_cell_length_b 5.090
_cell_length_c 5.387
_cell_angle_alpha 90.00
_cell_angle_beta 90.00
_cell_angle_gamma 90.00
_symmetry_space_group_name_H-M 'P 4/m m m'
_symmetry_Int_Tables_number 123
_symmetry_space_group_name_Hall '-P 4 2'
loop_
_atom_site_label
_atom_site_fract_x
_atom_site_fract_y
_atom_site_fract_z
K1 0.000 0.000 0.000
Hg1 0.500 0.500 0.500
P1 0.000 0.500 0.500
S1 0.500 0.500 0.000
```